The following is a PBE-GGA calculation of a relaxed NaPaIn4Rh2 crystal, from the Alexandria database.

ΔH_f (0 K), eV/atom: -0.14
Magnetization, μB/cell: 0.0
Density, g cm⁻³: 7.76

Unit cell a=4.073 b=4.073 c=11.854 alpha=90.00 beta=90.00 gamma=90.00
Atoms (fractional coordinates):
Na: 0.000 0.000 0.000
Pa: 0.000 0.000 0.500
In: 0.000 0.500 0.229
In: 0.000 0.500 0.771
In: 0.500 0.000 0.229
In: 0.500 0.000 0.771
Rh: 0.500 0.500 0.394
Rh: 0.500 0.500 0.606



The following is a PBE-GGA calculation of a relaxed NaPaIn2S6 crystal, from the Alexandria database.

Magnetization, μB/cell: 0.0
Formation energy (no corrections), eV/atom: -0.946
Density, g cm⁻³: 4.61

Unit cell a=7.263 b=7.263 c=7.263 alpha=55.61 beta=55.61 gamma=55.61
Atoms (fractional coordinates):
Na: 0.000 0.000 0.000
Pa: 0.487 0.487 0.487
In: 0.289 0.289 0.289
In: 0.799 0.799 0.799
S: 0.083 0.680 0.422
S: 0.210 0.578 0.893
S: 0.422 0.083 0.680
S: 0.578 0.893 0.210
S: 0.680 0.422 0.083
S: 0.893 0.210 0.578



The following is a PBE-GGA calculation of a relaxed Na3Pa2InSe6 crystal, from the Alexandria database.

Magnetization, μB/cell: 2.0
Formation energy (no corrections), eV/atom: -1.167
Density, g cm⁻³: 5.60

Unit cell a=9.407 b=9.407 c=8.775 alpha=100.14 beta=100.14 gamma=25.74
Atoms (fractional coordinates):
Na: 0.000 0.000 0.000
Na: 0.345 0.345 0.657
Na: 0.655 0.655 0.343
Pa: 0.333 0.333 0.160
Pa: 0.667 0.667 0.840
In: 0.000 0.000 0.500
Se: 0.171 0.171 0.074
Se: 0.175 0.175 0.619
Se: 0.484 0.484 0.230
Se: 0.516 0.516 0.770
Se: 0.825 0.825 0.381
Se: 0.829 0.829 0.926



The following is a PBE-GGA calculation of a relaxed Na2PaInSe4 crystal, from the Alexandria database.

Magnetization, μB/cell: 0.1
Formation energy (no corrections), eV/atom: -1.100
Density, g cm⁻³: 5.26

Unit cell a=7.132 b=4.259 c=7.802 alpha=90.00 beta=109.42 gamma=90.00
Atoms (fractional coordinates):
Na: 0.000 0.000 0.000
Na: 0.000 0.500 0.500
Pa: 0.500 0.000 0.500
In: 0.500 0.500 0.000
Se: 0.273 0.000 0.718
Se: 0.273 0.500 0.278
Se: 0.727 0.000 0.282
Se: 0.727 0.500 0.722



The following is a PBE-GGA calculation of a relaxed NaPa2In3Se6 crystal, from the Alexandria database.

Magnetization, μB/cell: 2.0
Formation energy (no corrections), eV/atom: -0.921
Density, g cm⁻³: 6.12

Unit cell a=10.062 b=10.062 c=9.179 alpha=109.36 beta=109.36 gamma=23.86
Atoms (fractional coordinates):
Na: 0.000 0.000 0.000
Pa: 0.334 0.334 0.675
Pa: 0.666 0.666 0.325
In: 0.000 0.000 0.500
In: 0.346 0.346 0.172
In: 0.654 0.654 0.828
Se: 0.171 0.171 0.113
Se: 0.176 0.176 0.553
Se: 0.480 0.480 0.750
Se: 0.520 0.520 0.250
Se: 0.824 0.824 0.447
Se: 0.829 0.829 0.887



The following is a PBE-GGA calculation of a relaxed NaPaInSn crystal, from the Alexandria database.

ΔH_f (0 K), eV/atom: 0.05
Magnetization, μB/cell: 0.7
Density, g cm⁻³: 7.75

Unit cell a=5.285 b=5.285 c=5.285 alpha=60.00 beta=60.00 gamma=60.00
Atoms (fractional coordinates):
Na: 0.000 0.000 0.000
Pa: 0.500 0.500 0.500
In: 0.250 0.250 0.250
Sn: 0.750 0.750 0.750



> Which value of magnetization does entry 4 give?

0.1 μB/cell



> What is the formula in the sixth record?

NaPaInSn



> Which formula does entry 1 have?

NaPaIn4Rh2



> Among the records above, which one has the highest density?

NaPaIn4Rh2